1.
Here is a relaxed ZnTe2Pb crystal from Alexandria via LeMat-Bulk. Energies are from PBE.

- Total energy: -2.758 eV/atom
- Crystal system: cubic
- Density: 7.8 g cm⁻³
- Formation energy without anion corrections: 0.235 eV per formula unit
- N(E_F): 0.62 states/eV/atom
- Space group: Fm-3m (225)

The structure in extended XYZ format:
```
4
Lattice="0.000 3.831 3.831 3.831 0.000 3.831 3.831 3.831 0.000" Properties=species:S:1:pos:R:3 pbc="T T T"
Zn 0.000 0.000 0.000
Te 1.915 1.915 1.915
Te 5.746 5.746 5.746
Pb 3.831 3.831 3.831
```

---

2.
Here is a relaxed Zn2TePb2 crystal from Alexandria via LeMat-Bulk. Energies are from PBE.

- Total energy: -2.555 eV/atom
- Crystal system: tetragonal
- Density: 8.7 g cm⁻³
- Formation energy without anion corrections: 0.329 eV per formula unit
- N(E_F): 0.49 states/eV/atom
- Space group: P4/mbm (127)

The structure in extended XYZ format:
```
10
Lattice="7.751 0.000 0.000 0.000 7.751 0.000 0.000 0.000 4.274" Properties=species:S:1:pos:R:3 pbc="T T T"
Zn 0.920 2.956 0.000
Zn 2.956 6.831 0.000
Zn 4.795 0.920 0.000
Zn 6.831 4.795 0.000
Te 0.000 0.000 0.000
Te 3.875 3.875 0.000
Pb 1.429 5.304 2.137
Pb 2.447 1.429 2.137
Pb 5.304 6.322 2.137
Pb 6.322 2.447 2.137
```

---

3.
Here is a relaxed ZnTePb2 crystal from Alexandria via LeMat-Bulk. Energies are from PBE.

- Total energy: -2.861 eV/atom
- Crystal system: monoclinic
- Density: 8.7 g cm⁻³
- Formation energy without anion corrections: 0.389 eV per formula unit
- N(E_F): 0.39 states/eV/atom
- Space group: C2/m (12)

The structure in extended XYZ format:
```
4
Lattice="3.582 -5.542 0.000 3.582 5.542 0.000 -1.493 0.000 2.923" Properties=species:S:1:pos:R:3 pbc="T T T"
Zn 0.000 0.000 0.000
Te 3.582 0.000 0.000
Pb 1.044 2.771 1.462
Pb 1.044 -2.771 1.462
```